## LiDy3Se2F6 (GGA-PBE)

Data for a geometry-optimized LiDy3Se2F6 structure.

```
data_LiDy3Se2F6
_chemical_formula_sum 'Li1 Dy3 Se2 F6'
_cell_length_a 5.5000
_cell_length_b 7.4836
_cell_length_c 7.1822
_cell_angle_alpha 121.40
_cell_angle_beta 79.32
_cell_angle_gamma 90.00
_space_group_name_H-M_alt 'P 1'
_space_group_IT_number 1
loop_
_space_group_symop_operation_xyz
'x,y,z'
loop_
_atom_site_label
_atom_site_type_symbol
_atom_site_fract_x
_atom_site_fract_y
_atom_site_fract_z
F1 F 0.7249 0.7839 0.1574
Li1 Li 0.5000 0.0000 0.0000
Dy1 Dy 0.0000 0.5000 0.0000
F2 F 0.4168 0.1575 0.3150
Se1 Se 0.8489 0.2956 0.5912
F3 F 0.2751 0.2161 0.8426
F4 F 0.5832 0.8425 0.6850
F5 F 0.7249 0.3735 0.1574
Dy2 Dy 0.5000 0.5000 0.5000
F6 F 0.2751 0.6265 0.8426
Dy3 Dy 0.5000 0.0000 0.5000
Se2 Se 0.1511 0.7044 0.4088
```

Computed properties:
E_form (uncorrected) in meV/atom: -3187
Calculated total energy in eV/atom: -6.0138
Symmetry: C2/m (12)
Crystal system: monoclinic